1.
A geometry-optimized Be2OsRu structure. Source: Alexandria via LeMat-Bulk, functional GGA-PBE.

The structure in extended XYZ format:
```
4
Lattice="-3.198 1.040 -3.307 -4.581 -0.139 -1.113 -1.832 3.312 0.623" Properties=species:S:1:pos:R:3 pbc="T T T"
Be -1.913 3.290 0.561
Ru -2.450 1.024 -0.994
Os -4.762 2.135 -1.855
Be -7.125 3.182 -2.782
```

Energy relative to the elements, eV/atom: -0.126
Energy above the most stable polymorph in this dataset, meV per atom: 104
Magnetization, μB per formula unit: 0.00
Fermi-level density of states, states/eV per atom: 0.456
Volume, Å³/cell: 44.60

***

2.
A geometry-optimized Pr6AsS2Br3 structure. Source: Alexandria via LeMat-Bulk, functional GGA-PBE.

The structure in extended XYZ format:
```
12
Lattice="7.154 -0.005 -0.002 -3.580 6.194 -0.002 -1.194 -2.068 7.544" Properties=species:S:1:pos:R:3 pbc="T T T"
Pr -1.228 2.129 1.541
Br 1.190 2.061 3.770
Pr -0.078 4.121 5.999
S -0.010 4.132 -0.002
As 0.000 0.000 0.000
S 3.584 2.057 -0.002
Pr 2.344 4.058 1.523
Pr 2.458 0.000 1.541
Br 4.823 -0.038 3.770
Pr 3.608 1.992 5.999
Br -2.443 4.159 3.770
Pr 0.036 0.063 6.017
```

Formation energy without anion corrections, eV/atom: -1.548
Magnetization, μB per formula unit: 0.00
Fermi-level density of states, states/eV per atom: 0.583
Volume, Å³/cell: 334.09

***

3.
A geometry-optimized CaPmInGe structure. Source: Alexandria via LeMat-Bulk, functional GGA-PBE.

The structure in extended XYZ format:
```
4
Lattice="-3.465 -1.420 -3.775 0.660 -4.573 -2.630 -3.334 -4.055 0.841" Properties=species:S:1:pos:R:3 pbc="T T T"
In -4.604 -7.536 -4.173
Ca -3.069 -5.024 -2.782
Pm 0.000 0.000 0.000
Ge -1.535 -2.512 -1.391
```

Energy relative to the elements, eV/atom: -0.463
Magnetization, μB per formula unit: 0.00
Fermi-level density of states, states/eV per atom: 0.551
Volume, Å³/cell: 106.27

***

4.
A geometry-optimized LiAl3Se4 structure. Source: Alexandria via LeMat-Bulk, functional GGA-PBE.

The structure in extended XYZ format:
```
16
Lattice="-6.292 -0.306 1.284 -1.021 -6.925 -6.656 1.369 -5.409 5.417" Properties=species:S:1:pos:R:3 pbc="T T T"
Se -4.250 -5.736 -1.943
Se -1.504 -5.278 -4.890
Se -3.984 -1.798 -0.788
Li -3.092 -7.904 -1.528
Al -0.348 -5.710 -2.794
Se -3.441 -4.576 1.882
Al 0.330 -8.387 -0.113
Li -6.454 -2.174 -0.540
Se -0.699 -8.044 -2.273
Al -2.550 -6.810 2.246
Al -3.242 -4.078 -0.490
Al -4.265 -5.763 -4.676
Se -3.546 -8.519 0.845
Al 0.194 -4.049 1.490
Se -0.858 -4.127 -1.031
Se -0.194 -6.752 1.599
```

Formation energy without anion corrections, eV/atom: -0.725
Magnetization, μB per formula unit: 0.00
Fermi-level density of states, states/eV per atom: 0.000
Volume, Å³/cell: 482.96

***

5.
A geometry-optimized FePb3Se structure. Source: Alexandria via LeMat-Bulk, functional GGA-PBE.

The structure in extended XYZ format:
```
5
Lattice="-2.857 1.201 4.737 -4.060 -3.636 -1.527 2.719 -4.168 2.697" Properties=species:S:1:pos:R:3 pbc="T T T"
Se 0.000 0.000 0.000
Pb -2.030 -1.818 -0.763
Pb -1.428 0.601 2.368
Pb 1.360 -2.084 1.348
Fe -2.099 -3.302 2.953
```

Formation energy without anion corrections, eV/atom: 0.871
Energy above the most stable polymorph in this dataset, meV per atom: 816
Magnetization, μB per formula unit: 3.12
Fermi-level density of states, states/eV per atom: 1.896
Volume, Å³/cell: 181.37

***

6.
A geometry-optimized CaPaCl6 structure. Source: Alexandria via LeMat-Bulk, functional GGA-PBE.

The structure in extended XYZ format:
```
8
Lattice="-3.969 1.144 -5.518 -6.793 -1.094 0.362 -4.449 5.933 0.132" Properties=species:S:1:pos:R:3 pbc="T T T"
Cl -10.037 4.091 -1.757
Cl -8.828 1.822 -4.710
Cl -7.046 5.238 -4.038
Pa 0.000 0.000 0.000
Cl -5.174 1.892 -3.267
Cl -8.166 0.745 -0.985
Ca -7.606 2.991 -2.512
Cl -6.383 4.161 -0.314
```

Formation energy without anion corrections, eV/atom: -2.068
Magnetization, μB per formula unit: 1.01
Fermi-level density of states, states/eV per atom: 0.053
Volume, Å³/cell: 257.54

***

7.
A geometry-optimized Sc2CuAgH structure. Source: Alexandria via LeMat-Bulk, functional GGA-PBE.

The structure in extended XYZ format:
```
5
Lattice="-4.434 0.201 1.226 -0.581 -4.353 -1.385 0.863 -1.170 3.314" Properties=species:S:1:pos:R:3 pbc="T T T"
Sc -2.217 0.101 0.613
H 0.000 0.000 0.000
Cu 0.432 -0.585 1.657
Ag -2.076 -2.661 1.577
Sc -0.290 -2.176 -0.693
```

Magnetization, μB per formula unit: 0.00
Total DFT energy (no corrections), eV per atom: -4.868
Fermi-level density of states, states/eV per atom: 0.638
Volume, Å³/cell: 76.73

***

8.
A geometry-optimized PuTh2Tl structure. Source: Alexandria via LeMat-Bulk, functional GGA-PBE.

The structure in extended XYZ format:
```
4
Lattice="-1.943 -2.583 1.351 -1.976 -1.987 -2.101 7.355 -8.734 -1.576" Properties=species:S:1:pos:R:3 pbc="T T T"
Tl 1.713 -6.648 -1.163
Pu -2.606 -3.052 -0.501
Th 0.855 -3.323 -0.581
Th 5.192 -6.933 -1.245
```

Energy relative to the elements, eV/atom: 0.091
Energy above the most stable polymorph in this dataset, meV per atom: 114
Magnetization, μB per formula unit: 5.78
Fermi-level density of states, states/eV per atom: 2.606
Volume, Å³/cell: 120.59

***

9.
A geometry-optimized Ba3Ce2SmTe6 structure. Source: Alexandria via LeMat-Bulk, functional GGA-PBE.

The structure in extended XYZ format:
```
12
Lattice="8.082 0.001 0.001 -4.038 7.001 0.001 -1.348 -2.333 7.914" Properties=species:S:1:pos:R:3 pbc="T T T"
Ce 0.004 4.667 0.001
Ba -2.684 4.663 3.958
Te 2.708 4.689 1.778
Ba 1.348 2.334 3.958
Sm 0.000 0.000 0.000
Te 4.031 2.356 6.146
Ba 5.380 0.006 3.958
Te 2.671 0.000 1.770
Ce 4.040 2.336 0.001
Te -1.335 2.313 1.770
Te -0.012 -0.020 6.138
Te 0.026 4.669 6.146
```

Formation energy without anion corrections, eV/atom: -1.536
Magnetization, μB per formula unit: 2.82
Fermi-level density of states, states/eV per atom: 1.570
Volume, Å³/cell: 447.84

***

10.
A geometry-optimized Be2CoRu structure. Source: Alexandria via LeMat-Bulk, functional GGA-PBE.

The structure in extended XYZ format:
```
4
Lattice="-0.202 -2.035 1.444 -1.214 -0.221 -2.178 6.274 -2.896 -3.201" Properties=species:S:1:pos:R:3 pbc="T T T"
Be 0.848 -1.846 -1.161
Co 2.994 -1.382 -1.528
Be 0.071 -0.033 -0.036
Ru 4.082 -3.339 -2.811
```

Energy relative to the elements, eV/atom: 0.198
Magnetization, μB per formula unit: 1.61
Fermi-level density of states, states/eV per atom: 0.953
Volume, Å³/cell: 43.93

***

11.
A geometry-optimized CuPdAu structure. Source: Alexandria via LeMat-Bulk, functional GGA-PBE.

The structure in extended XYZ format:
```
3
Lattice="-0.514 -1.407 3.903 0.554 -4.056 0.850 3.314 -1.235 2.230" Properties=species:S:1:pos:R:3 pbc="T T T"
Cu 0.839 -1.674 1.746
Pd 0.000 0.000 0.000
Au 1.677 -3.349 3.491
```

Energy relative to the elements, eV/atom: 0.107
Energy above the most stable polymorph in this dataset, meV per atom: 204
Magnetization, μB per formula unit: 0.00
Fermi-level density of states, states/eV per atom: 0.390
Volume, Å³/cell: 51.67

***

12.
A geometry-optimized CaIn6Ga2 structure. Source: Alexandria via LeMat-Bulk, functional GGA-PBE.

The structure in extended XYZ format:
```
9
Lattice="5.268 0.000 0.000 -2.634 4.554 0.030 0.000 0.059 9.545" Properties=species:S:1:pos:R:3 pbc="T T T"
In 0.000 0.010 1.541
In 0.000 3.094 9.351
In 0.000 3.056 3.113
Ga 0.000 3.075 6.354
In 2.634 1.557 6.462
Ga 2.634 1.538 3.221
In 2.634 1.519 0.224
In 2.634 4.603 8.034
Ca 0.000 0.030 4.772
```

Energy relative to the elements, eV/atom: -0.099
Magnetization, μB per formula unit: 0.00
Fermi-level density of states, states/eV per atom: 0.714
Volume, Å³/cell: 228.95